! Li3Mn2CoO6 | Alexandria | PBE with a Hubbard U | optimized geometry; values from VASP
&SYSTEM
  ibrav = 0, nat = 12, ntyp = 4
/
ATOMIC_SPECIES
Li 6.94 Li.upf
Mn 54.94 Mn.upf
Co 58.93 Co.upf
O 16.00 O.upf
CELL_PARAMETERS angstrom
2.620 -4.380 0.000
2.620 4.380 0.000
-1.926 0.000 4.854
ATOMIC_POSITIONS angstrom
Li 0.000 0.000 0.000
Li 2.620 1.462 0.000
Li 2.620 -1.486 0.000
Mn 1.657 2.947 2.427
Mn 1.657 -2.890 2.427
Co 1.657 -0.021 2.427
O 0.717 1.532 1.391
O -0.234 0.032 3.538
O 0.903 -1.561 1.258
O 2.597 1.532 3.463
O 3.548 0.032 1.316
O 2.412 -1.561 3.595
! Symmetry: No. 5
! Relative energy among the computed polymorphs (eV/f.u.): 0.00